No. 1
A relaxed Ba2SiPb crystal, computed with PBE.

Output
Theoretical density ... 5.833 g/cm³
Density of states at the Fermi level ... 2.807 states/eV/f.u.
Total magnetization ... 0.0 μB per cell
Crystal system ... cubic
ΔE_f (raw) ... -211 meV/atom
Energy above the most stable polymorph in this dataset ... 224 meV per atom
Uncorrected energy ... -55.28 eV for the cell shown

Lattice parameters (Å, degrees): 8.3429 8.3429 8.3429 90.00 90.00 90.00
Closest atoms and distances in Å follow each position.
Space group Fm-3m (No. 225)
Inequivalent atoms, fractional coordinates:
1 Ba 0.2500 0.2500 0.2500 [8 per cell]  4 Si 3.61, 4 Pb 3.61
2 Si 0.0000 0.0000 0.0000 [4 per cell]  8 Ba 3.61
3 Pb 0.0000 0.0000 0.5000 [4 per cell]  8 Ba 3.61

---

No. 2
A relaxed NaTe3Pt crystal, computed with PBE.

Output
Theoretical density ... 6.673 g/cm³
Density of states at the Fermi level ... 8.046 states/eV/f.u.
Total magnetization ... 0.0 μB per cell
Crystal system ... cubic
ΔE_f (raw) ... 1083 meV/atom
Energy above the most stable polymorph in this dataset ... 1114 meV per atom
Uncorrected energy ... -11.37 eV for the cell shown

Lattice parameters (Å, degrees): 5.3078 5.3078 5.3078 90.00 90.00 90.00
Closest atoms and distances in Å follow each position.
Space group Pm-3m (No. 221)
Inequivalent atoms, fractional coordinates:
1 Na 0.0000 0.0000 0.0000 [1 per cell]  6 Te 2.65
2 Te 0.0000 0.0000 0.5000 [3 per cell]  2 Na 2.65
3 Pt 0.5000 0.5000 0.5000 [1 per cell]  12 Te 3.75

---

No. 3
A relaxed SrTePdI2 crystal, computed with PBE.

Output
Theoretical density ... 3.993 g/cm³
Density of states at the Fermi level ... 2.030 states/eV/f.u.
Total magnetization ... 0.0 μB per cell
Crystal system ... tetragonal
ΔE_f (raw) ... 154 meV/atom
Energy above the most stable polymorph in this dataset ... 857 meV per atom
Uncorrected energy ... -12.34 eV for the cell shown

Lattice parameters (Å, degrees): 6.2527 6.2527 6.1206 90.00 90.00 90.00
Closest atoms and distances in Å follow each position.
Space group P4/mmm (No. 123)
Inequivalent atoms, fractional coordinates:
1 Sr 0.0000 0.0000 0.0000 [1 per cell]  2 Te 3.06
2 Te 0.0000 0.0000 0.5000 [1 per cell]  2 Sr 3.06, 4 I 3.13
3 Pd 0.5000 0.5000 0.0000 [1 per cell]  8 I 4.37, 4 Sr 4.42
4 I 0.0000 0.5000 0.5000 [2 per cell]  2 Te 3.13

---

- total magnetization of number 3 (SrTePdI2)?
  0.0 μB per cell

---

- What is the formula in the second record?
  NaTe3Pt

---

- What is the formula in the third record?
  SrTePdI2